Record 1
The following is a DFT calculation (PBE) of an optimized crystal structure of Dy2MgSe4.

Lattice parameters (Å, degrees): 7.4820 8.6551 13.8393 98.70 95.24 90.15
With the nearest neighbours (Å) after each atom.
Element x y z (fractional)
Dy  0.1325  0.4442  0.2990  4 Se 2.70-2.74
Dy  0.1334  0.9574  0.3043  4 Se 2.71-2.73
Dy  0.2562  0.1274  0.9991  6 Se 2.88-2.94
Dy  0.3651  0.3007  0.6968  4 Se 2.70-2.74
Dy  0.6349  0.6993  0.3032  4 Se 2.70-2.74
Dy  0.7438  0.8726  0.0009  6 Se 2.88-2.94
Dy  0.8666  0.0426  0.6957  4 Se 2.71-2.73
Dy  0.8675  0.5558  0.7010  4 Se 2.70-2.74
Mg  0.2510  0.6203  0.9958  6 Se 2.80-2.91
Mg  0.3661  0.8023  0.7070  4 Se 2.56-2.61
Mg  0.6339  0.1977  0.2930  4 Se 2.56-2.61
Mg  0.7490  0.3797  0.0042  6 Se 2.80-2.91
Se  0.0958  0.4051  0.1008  2 Dy 2.70-2.91, 2 Mg 2.80-2.84
Se  0.1048  0.8974  0.1057  3 Dy 2.71-2.94, 1 Mg 2.91
Se  0.1934  0.5452  0.6280  1 Mg 2.61, 2 Dy 2.72-2.73
Se  0.1961  0.0206  0.6269  1 Mg 2.61, 2 Dy 2.72-2.73
Se  0.3081  0.7183  0.3790  3 Dy 2.73-2.74
Se  0.3320  0.2202  0.3742  1 Mg 2.61, 2 Dy 2.72
Se  0.3926  0.8433  0.8948  2 Mg 2.56-2.81
Se  0.4078  0.3556  0.8950  2 Dy 2.70-2.90, 2 Mg 2.81-2.84
Se  0.5922  0.6444  0.1050  2 Dy 2.70-2.90, 2 Mg 2.81-2.84
Se  0.6074  0.1567  0.1052  2 Mg 2.56-2.81
Se  0.6680  0.7798  0.6258  1 Mg 2.61, 2 Dy 2.72
Se  0.6919  0.2817  0.6210  3 Dy 2.73-2.74
Se  0.8039  0.9794  0.3731  1 Mg 2.61, 2 Dy 2.72-2.73
Se  0.8066  0.4548  0.3720  1 Mg 2.61, 2 Dy 2.72-2.73
Se  0.8952  0.1026  0.8943  3 Dy 2.71-2.94, 1 Mg 2.91
Se  0.9042  0.5949  0.8992  2 Dy 2.70-2.91, 2 Mg 2.80-2.84

Calculated values
energy	-5.05	eV/atom
space group	P-1 (2)
DOS(E_F)	0.00	states/eV/f.u.
uncorrected formation energy	-10.590	eV/f.u.

Record 2
The following is a DFT calculation (PBE) of an optimized crystal structure of Dy2MgSe4.

Lattice parameters (Å, degrees): 7.5337 7.5337 7.5337 110.59 110.59 107.25
With the nearest neighbours (Å) after each atom.
Element x y z (fractional)
Dy  0.0061  0.6250  0.8811  6 Se 2.82-3.13
Dy  0.3750  0.2561  0.3811  6 Se 2.82-3.13
Dy  0.7439  0.1250  0.1189  6 Se 2.82-3.13
Dy  0.8750  0.9939  0.6189  6 Se 2.82-3.13
Mg  0.2500  0.7500  0.5000  4 Se 2.73
Mg  0.5000  0.5000  0.0000  4 Se 2.73
Se  0.0090  0.8791  0.2624  1 Mg 2.73, 2 Dy 2.82-2.88
Se  0.1209  0.3833  0.1299  1 Mg 2.73, 2 Dy 2.82-2.88
Se  0.1333  0.3709  0.6299  1 Mg 2.73, 2 Dy 2.82-2.88
Se  0.2534  0.9910  0.8701  1 Mg 2.73, 2 Dy 2.82-2.88
Se  0.4966  0.8667  0.2376  1 Mg 2.73, 2 Dy 2.82-2.88
Se  0.6167  0.7466  0.7376  1 Mg 2.73, 2 Dy 2.82-2.88
Se  0.6291  0.2590  0.7624  1 Mg 2.73, 2 Dy 2.82-2.88
Se  0.7410  0.5034  0.3701  1 Mg 2.73, 2 Dy 2.82-2.88

Calculated values
energy	-5.15	eV/atom
space group	I-42d (122)
DOS(E_F)	0.00	states/eV/f.u.
uncorrected formation energy	-11.321	eV/f.u.

Record 3
The following is a DFT calculation (PBE) of an optimized crystal structure of DyMg2Se4.

Lattice parameters (Å, degrees): 6.6449 6.6449 13.3107 90.00 90.00 146.35
With the nearest neighbours (Å) after each atom.
Element x y z (fractional)
Dy  0.1164  0.8836  0.7500  6 Se 2.85-2.91
Dy  0.8836  0.1164  0.2500  6 Se 2.85-2.91
Mg  0.3668  0.6332  0.5687  6 Se 2.64-2.78
Mg  0.3668  0.6332  0.9313  6 Se 2.64-2.78
Mg  0.6332  0.3668  0.0687  6 Se 2.64-2.78
Mg  0.6332  0.3668  0.4313  6 Se 2.64-2.78
Se  0.0000  0.0000  0.0000  4 Mg 2.72
Se  0.0000  0.0000  0.5000  4 Mg 2.72
Se  0.2825  0.7175  0.1171  3 Mg 2.70-2.78, 2 Dy 2.91
Se  0.2825  0.7175  0.3829  3 Mg 2.70-2.78, 2 Dy 2.91
Se  0.4508  0.5492  0.7500  2 Mg 2.64, 2 Dy 2.85
Se  0.5492  0.4508  0.2500  2 Mg 2.64, 2 Dy 2.85
Se  0.7175  0.2825  0.6171  3 Mg 2.70-2.78, 2 Dy 2.91
Se  0.7175  0.2825  0.8829  3 Mg 2.70-2.78, 2 Dy 2.91

Calculated values
energy	-4.39	eV/atom
space group	Cmcm (63)
DOS(E_F)	3.35	states/eV/f.u.
uncorrected formation energy	-8.977	eV/f.u.

Record 4
The following is a DFT calculation (PBE) of an optimized crystal structure of Dy3MgSe4.

Lattice parameters (Å, degrees): 13.7231 13.7231 13.7231 16.72 16.72 16.72
With the nearest neighbours (Å) after each atom.
Element x y z (fractional)
Dy  0.0000  0.0000  0.0000  6 Se 2.87
Dy  0.2508  0.2508  0.2508  6 Se 2.83-2.96
Dy  0.7492  0.7492  0.7492  6 Se 2.83-2.96
Mg  0.5000  0.5000  0.5000  6 Se 2.78
Se  0.1283  0.1283  0.1283  3 Mg 2.78, 3 Dy 2.96
Se  0.3753  0.3753  0.3753  6 Dy 2.83-2.87
Se  0.6247  0.6247  0.6247  6 Dy 2.83-2.87
Se  0.8717  0.8717  0.8717  3 Mg 2.78, 3 Dy 2.96

Calculated values
energy	-5.26	eV/atom
space group	R-3m (166)
DOS(E_F)	3.98	states/eV/f.u.
uncorrected formation energy	-12.741	eV/f.u.

Record 5
The following is a DFT calculation (PBE) of an optimized crystal structure of DyMgSe2.

Lattice parameters (Å, degrees): 7.2818 7.2818 7.2818 31.05 31.05 31.05
With the nearest neighbours (Å) after each atom.
Element x y z (fractional)
Dy  0.0000  0.0000  0.0000  6 Se 2.92-2.95
Mg  0.8325  0.8325  0.8325  6 Se 2.73-2.77
Se  0.2437  0.2437  0.2437  3 Mg 2.77, 3 Dy 2.92
Se  0.4249  0.4249  0.4249  3 Mg 2.73, 3 Dy 2.95

Calculated values
energy	-4.73	eV/atom
space group	R3m (160)
DOS(E_F)	1.08	states/eV/f.u.
uncorrected formation energy	-5.757	eV/f.u.

Record 6
The following is a DFT calculation (PBE) of an optimized crystal structure of Dy4MgSe7.

Lattice parameters (Å, degrees): 6.8867 6.8867 12.0660 104.31 104.31 33.49
With the nearest neighbours (Å) after each atom.
Element x y z (fractional)
Dy  0.0000  0.0000  0.0000  6 Se 2.79-2.90
Dy  0.1928  0.1928  0.7668  7 Se 2.83-3.13
Dy  0.5803  0.5803  0.3647  6 Se 2.85-3.03
Dy  0.8865  0.8865  0.5625  6 Se 2.79-2.86
Mg  0.7707  0.7707  0.1455  6 Se 2.70-2.81
Se  0.1534  0.1534  0.2158  2 Mg 2.78, 3 Dy 2.86-3.00
Se  0.2247  0.2247  0.5183  5 Dy 2.86-3.13
Se  0.3817  0.3817  0.0704  2 Mg 2.75, 2 Dy 2.79
Se  0.5473  0.5473  0.6189  4 Dy 2.86-3.01
Se  0.6297  0.6297  0.9269  1 Mg 2.81, 4 Dy 2.90-3.03
Se  0.8494  0.8494  0.7828  4 Dy 2.82-2.85
Se  0.9220  0.9220  0.3443  1 Mg 2.70, 3 Dy 2.79-2.85

Calculated values
energy	-5.45	eV/atom
space group	Cm (8)
uncorrected formation energy	-21.001	eV/f.u.

Record 7
The following is a DFT calculation (PBE) of an optimized crystal structure of Sm3Dy3MgSe8.

Lattice parameters (Å, degrees): 8.2350 8.2350 8.2350 59.57 59.57 59.57
With the nearest neighbours (Å) after each atom.
Element x y z (fractional)
Sm  0.0000  0.5000  0.5000  6 Se 2.94
Sm  0.5000  0.0000  0.5000  6 Se 2.94
Sm  0.5000  0.5000  0.0000  6 Se 2.94
Dy  0.0000  0.0000  0.5000  6 Se 2.87
Dy  0.0000  0.5000  0.0000  6 Se 2.87
Dy  0.5000  0.0000  0.0000  6 Se 2.87
Mg  0.5000  0.5000  0.5000  6 Se 2.81
Se  0.2471  0.2471  0.2471  3 Dy 2.87, 3 Sm 2.94
Se  0.2526  0.7420  0.7420  1 Mg 2.81, 2 Dy 2.87, 2 Sm 2.94
Se  0.2580  0.2580  0.7474  1 Mg 2.81, 2 Dy 2.87, 2 Sm 2.94
Se  0.2580  0.7474  0.2580  1 Mg 2.81, 2 Dy 2.87, 2 Sm 2.94
Se  0.7420  0.2526  0.7420  1 Mg 2.81, 2 Dy 2.87, 2 Sm 2.94
Se  0.7420  0.7420  0.2526  1 Mg 2.81, 2 Dy 2.87, 2 Sm 2.94
Se  0.7474  0.2580  0.2580  1 Mg 2.81, 2 Dy 2.87, 2 Sm 2.94
Se  0.7529  0.7529  0.7529  3 Dy 2.87, 3 Sm 2.94

Calculated values
energy	-5.60	eV/atom
space group	R-3m (166)
DOS(E_F)	3.47	states/eV/f.u.
uncorrected formation energy	-26.554	eV/f.u.

Record 8
The following is a DFT calculation (PBE) of an optimized crystal structure of Sr3Dy3MgSe8.

Lattice parameters (Å, degrees): 8.5862 8.5862 8.5862 57.87 57.87 57.87
With the nearest neighbours (Å) after each atom.
Element x y z (fractional)
Sr  0.0000  0.5000  0.5000  6 Se 3.07-3.10
Sr  0.5000  0.0000  0.5000  6 Se 3.07-3.10
Sr  0.5000  0.5000  0.0000  6 Se 3.07-3.10
Dy  0.0000  0.0000  0.5000  6 Se 2.88-2.90
Dy  0.0000  0.5000  0.0000  6 Se 2.88-2.90
Dy  0.5000  0.0000  0.0000  6 Se 2.88-2.90
Mg  0.5000  0.5000  0.5000  6 Se 2.83
Se  0.2433  0.2433  0.2433  3 Dy 2.90, 3 Sr 3.07
Se  0.2457  0.7375  0.7375  1 Mg 2.83, 2 Dy 2.88, 2 Sr 3.10
Se  0.2625  0.2625  0.7543  1 Mg 2.83, 2 Dy 2.88, 2 Sr 3.10
Se  0.2625  0.7543  0.2625  1 Mg 2.83, 2 Dy 2.88, 2 Sr 3.10
Se  0.7375  0.2457  0.7375  1 Mg 2.83, 2 Dy 2.88, 2 Sr 3.10
Se  0.7375  0.7375  0.2457  1 Mg 2.83, 2 Dy 2.88, 2 Sr 3.10
Se  0.7543  0.2625  0.2625  1 Mg 2.83, 2 Dy 2.88, 2 Sr 3.10
Se  0.7567  0.7567  0.7567  3 Dy 2.90, 3 Sr 3.07

Calculated values
energy	-5.05	eV/atom
space group	R-3m (166)
DOS(E_F)	3.92	states/eV/f.u.
uncorrected formation energy	-27.499	eV/f.u.

Record 9
The following is a DFT calculation (PBE) of an optimized crystal structure of Tb3Dy3MgSe8.

Lattice parameters (Å, degrees): 8.1371 8.1371 8.1371 59.93 59.93 59.93
With the nearest neighbours (Å) after each atom.
Element x y z (fractional)
Tb  0.0000  0.5000  0.5000  6 Se 2.88
Tb  0.5000  0.0000  0.5000  6 Se 2.88
Tb  0.5000  0.5000  0.0000  6 Se 2.88
Dy  0.0000  0.0000  0.5000  6 Se 2.87
Dy  0.0000  0.5000  0.0000  6 Se 2.87
Dy  0.5000  0.0000  0.0000  6 Se 2.87
Mg  0.5000  0.5000  0.5000  6 Se 2.80
Se  0.2494  0.2494  0.2494  3 Dy 2.87, 3 Tb 2.88
Se  0.2554  0.7435  0.7435  1 Mg 2.80, 2 Dy 2.87, 2 Tb 2.88
Se  0.2565  0.2565  0.7446  1 Mg 2.80, 2 Dy 2.87, 2 Tb 2.88
Se  0.2565  0.7446  0.2565  1 Mg 2.80, 2 Dy 2.87, 2 Tb 2.88
Se  0.7435  0.2554  0.7435  1 Mg 2.80, 2 Dy 2.87, 2 Tb 2.88
Se  0.7435  0.7435  0.2554  1 Mg 2.80, 2 Dy 2.87, 2 Tb 2.88
Se  0.7446  0.2565  0.2565  1 Mg 2.80, 2 Dy 2.87, 2 Tb 2.88
Se  0.7506  0.7506  0.7506  3 Dy 2.87, 3 Tb 2.88

Calculated values
energy	-5.57	eV/atom
space group	R-3m (166)
DOS(E_F)	3.90	states/eV/f.u.
uncorrected formation energy	-26.422	eV/f.u.

Record 10
The following is a DFT calculation (PBE) of an optimized crystal structure of Tb4DyMgSe8.

Lattice parameters (Å, degrees): 8.3677 8.3677 8.3677 60.02 60.02 60.02
With the nearest neighbours (Å) after each atom.
Element x y z (fractional)
Tb  0.0000  0.0000  0.0000  4 Se 2.73-2.74
Tb  0.3784  0.3784  0.8653  6 Se 2.88-2.91
Tb  0.3784  0.8653  0.3784  6 Se 2.88-2.91
Tb  0.8653  0.3784  0.3784  6 Se 2.88-2.91
Dy  0.3785  0.3785  0.3785  6 Se 2.87-2.90
Mg  0.7500  0.7500  0.7500  4 Se 2.63
Se  0.1334  0.1334  0.1334  4 Tb 2.73-2.91
Se  0.1344  0.1344  0.5994  3 Tb 2.74-2.91, 1 Dy 2.90
Se  0.1344  0.5994  0.1344  3 Tb 2.74-2.91, 1 Dy 2.90
Se  0.1355  0.6212  0.6212  1 Mg 2.63, 1 Dy 2.87, 2 Tb 2.88
Se  0.5994  0.1344  0.1344  3 Tb 2.74-2.91, 1 Dy 2.90
Se  0.6212  0.1355  0.6212  1 Mg 2.63, 1 Dy 2.87, 2 Tb 2.88
Se  0.6212  0.6212  0.1355  1 Mg 2.63, 1 Dy 2.87, 2 Tb 2.88
Se  0.6217  0.6217  0.6217  1 Mg 2.63, 3 Tb 2.88

Calculated values
energy	-5.48	eV/atom
space group	R3m (160)
DOS(E_F)	3.81	states/eV/f.u.
uncorrected formation energy	-24.080	eV/f.u.

Record 11
The following is a DFT calculation (PBE) of an optimized crystal structure of TbDy4MgSe8.

Lattice parameters (Å, degrees): 8.3497 8.3497 8.3497 59.98 59.98 59.98
With the nearest neighbours (Å) after each atom.
Element x y z (fractional)
Tb  0.0000  0.0000  0.0000  6 Se 2.88-2.91
Dy  0.0000  0.0000  0.4869  6 Se 2.87-2.90
Dy  0.0000  0.4869  0.0000  6 Se 2.87-2.90
Dy  0.4869  0.0000  0.0000  6 Se 2.87-2.90
Dy  0.6217  0.6217  0.6217  4 Se 2.72-2.73
Mg  0.3717  0.3717  0.3717  4 Se 2.63
Se  0.2220  0.7543  0.7543  3 Dy 2.72-2.90, 1 Tb 2.91
Se  0.2430  0.2430  0.2430  1 Mg 2.63, 3 Dy 2.87
Se  0.2438  0.2438  0.7573  1 Mg 2.63, 2 Dy 2.87, 1 Tb 2.88
Se  0.2438  0.7573  0.2438  1 Mg 2.63, 2 Dy 2.87, 1 Tb 2.88
Se  0.7543  0.2220  0.7543  3 Dy 2.72-2.90, 1 Tb 2.91
Se  0.7543  0.7543  0.2220  3 Dy 2.72-2.90, 1 Tb 2.91
Se  0.7551  0.7551  0.7551  4 Dy 2.73-2.90
Se  0.7573  0.2438  0.2438  1 Mg 2.63, 2 Dy 2.87, 1 Tb 2.88

Calculated values
energy	-5.47	eV/atom
space group	R3m (160)
DOS(E_F)	3.80	states/eV/f.u.
uncorrected formation energy	-24.056	eV/f.u.

Record 12
The following is a DFT calculation (PBE) of an optimized crystal structure of Dy4TmMgSe8.

Lattice parameters (Å, degrees): 8.3205 8.3205 8.3205 60.03 60.03 60.03
With the nearest neighbours (Å) after each atom.
Element x y z (fractional)
Dy  0.0000  0.0000  0.0000  4 Se 2.72-2.73
Dy  0.3785  0.3785  0.8656  6 Se 2.86-2.90
Dy  0.3785  0.8656  0.3785  6 Se 2.86-2.90
Dy  0.8656  0.3785  0.3785  6 Se 2.86-2.90
Tm  0.3787  0.3787  0.3787  6 Se 2.84-2.86
Mg  0.7500  0.7500  0.7500  4 Se 2.62-2.63
Se  0.1334  0.1334  0.1334  4 Dy 2.72-2.89
Se  0.1359  0.1359  0.5988  3 Dy 2.73-2.90, 1 Tm 2.86
Se  0.1359  0.5988  0.1359  3 Dy 2.73-2.90, 1 Tm 2.86
Se  0.1371  0.6198  0.6198  1 Mg 2.63, 1 Tm 2.84, 2 Dy 2.87
Se  0.5988  0.1359  0.1359  3 Dy 2.73-2.90, 1 Tm 2.86
Se  0.6198  0.1371  0.6198  1 Mg 2.63, 1 Tm 2.84, 2 Dy 2.87
Se  0.6198  0.6198  0.1371  1 Mg 2.63, 1 Tm 2.84, 2 Dy 2.87
Se  0.6216  0.6216  0.6216  1 Mg 2.62, 3 Dy 2.86

Calculated values
energy	-5.45	eV/atom
space group	R3m (160)
DOS(E_F)	3.63	states/eV/f.u.
uncorrected formation energy	-23.991	eV/f.u.